CoTc3Os PBE optimized geometry; volume = 16.06 Å³/atom; ΔE_f = 1.525 eV per atom
1.0
4.3139 0.0000 0.0000
0.0000 4.3139 0.0000
0.0000 0.0000 4.3139
Co Tc Os
1 3 1
direct
0.0000 0.0000 0.0000
0.0000 0.0000 0.5000
0.0000 0.5000 0.0000
0.5000 0.0000 0.0000
0.5000 0.5000 0.5000